A relaxed LiMg4Cd5 crystal, computed with PBE.

## Properties
Space group: P4/mmm
Crystal system: tetragonal
Calculated formation energy in meV/atom: -129

Unit cell a=3.4369 b=3.4369 c=17.7809 alpha=90.00 beta=90.00 gamma=90.00
With the nearest neighbours (Å) after each atom.
Sites, in units of the cell vectors:
Cd  0.5000  0.5000  0.2970  8 Mg 3.03-3.06
Cd  0.5000  0.5000  0.9115  4 Li 2.90, 4 Mg 3.05, 1 Cd 3.15
Mg  0.0000  0.0000  0.6010  8 Cd 3.02-3.03
Cd  0.5000  0.5000  0.7030  8 Mg 3.03-3.06
Mg  0.0000  0.0000  0.1925  8 Cd 3.05-3.06
Mg  0.0000  0.0000  0.3990  8 Cd 3.02-3.03
Cd  0.5000  0.5000  0.5000  8 Mg 3.02
Cd  0.5000  0.5000  0.0885  4 Li 2.90, 4 Mg 3.05, 1 Cd 3.15
Mg  0.0000  0.0000  0.8075  8 Cd 3.05-3.06
Li  0.0000  0.0000  0.0000  8 Cd 2.90

***

A relaxed ZrTcW2 crystal, computed with PBE.

## Properties
Space group: F-43m
Crystal system: cubic
Calculated formation energy in meV/atom: -79
Relative energy among the computed polymorphs in meV per atom: 4

Unit cell a=4.5645 b=4.5645 c=4.5645 alpha=60.00 beta=60.00 gamma=60.00
With the nearest neighbours (Å) after each atom.
Sites, in units of the cell vectors:
W  0.2500  0.2500  0.2500  4 W 2.80, 4 Tc 2.80
Tc  0.5000  0.5000  0.5000  4 Zr 2.80, 4 W 2.80
W  0.0000  0.0000  0.0000  4 W 2.80, 4 Zr 2.80
Zr  0.7500  0.7500  0.7500  4 W 2.80, 4 Tc 2.80

***

A relaxed Na2NpS4 crystal, computed with PBE.

## Properties
Space group: I-42d
Crystal system: tetragonal
Formation energy without anion corrections in kJ/mol of atoms: -90.34
Relative energy among the computed polymorphs in meV per atom: 71

Unit cell a=7.2217 b=7.2217 c=7.2217 alpha=111.08 beta=111.08 gamma=106.31
With the nearest neighbours (Å) after each atom.
Sites, in units of the cell vectors:
Na  0.4767  0.6250  0.3517  6 S 2.72-2.99
S  0.9813  0.7298  0.6369  1 Np 2.57, 1 Na 2.72
Np  0.0000  0.0000  0.0000  4 S 2.57
S  0.0945  0.3429  0.8631  1 Np 2.57, 1 Na 2.72
Na  0.2733  0.1250  0.6483  6 S 2.72-2.99
S  0.7687  0.9055  0.2485  1 Np 2.57, 1 Na 2.72
Na  0.8750  0.5233  0.1483  6 S 2.72-2.99
S  0.2702  0.9071  0.2515  1 Np 2.57, 1 Na 2.72
Na  0.3750  0.7267  0.8517  6 S 2.72-2.99
S  0.6571  0.5202  0.7515  1 Np 2.57, 1 Na 2.72
S  0.0929  0.3445  0.3631  1 Np 2.57, 1 Na 2.72
S  0.6555  0.0187  0.7485  1 Np 2.57, 1 Na 2.72
S  0.4798  0.2313  0.1369  1 Np 2.57, 1 Na 2.72
Np  0.7500  0.2500  0.5000  4 S 2.57

***

A relaxed Cs2SnSe crystal, computed with PBE.

## Properties
Space group: I-42d
Crystal system: tetragonal
Formation energy without anion corrections in kJ/mol of atoms: -35.13
Relative energy among the computed polymorphs in meV per atom: 0

Unit cell a=9.2932 b=9.2932 c=9.2932 alpha=95.86 beta=95.86 gamma=142.75
With the nearest neighbours (Å) after each atom.
Sites, in units of the cell vectors:
Sn  0.0000  0.0000  0.0000  2 Se 2.97
Cs  0.7336  0.3750  0.8586  2 Se 3.47
Se  0.7500  0.2500  0.5000  2 Sn 2.97
Cs  0.5164  0.8750  0.1414  2 Se 3.47
Se  0.5000  0.5000  0.0000  2 Sn 2.97
Cs  0.6250  0.4836  0.3586  2 Se 3.47
Cs  0.1250  0.2664  0.6414  2 Se 3.47
Sn  0.2500  0.7500  0.5000  2 Se 2.97

***

no.,size of the total moment (μB/f.u.)
1,0.00
2,0.00
3,0.99
4,1.49